Entry 1:
{
  "formula": "MgFeSiIr",
  "functional": "PBE-GGA",
  "state": "relaxed",
  "polymorph_energy_ev_per_atom": 0.000,
  "dft_energy_ev_per_atom": -6.374,
  "lattice_angstrom": [[-3.381, -0.742, 2.311], [-1.598, 3.019, 2.378], [-3.640, 1.744, -1.017]],
  "species": ["Fe", "Ir", "Mg", "Si"],
  "fractional_positions": [[0.750, 0.750, 0.750], [0.250, 0.250, 0.250], [0.500, 0.500, 0.500], [0.000, 0.000, 0.000]]
}



Entry 2:
{
  "formula": "MgZnFeIr",
  "functional": "PBE-GGA",
  "state": "relaxed",
  "polymorph_energy_ev_per_atom": 0.000,
  "dft_energy_ev_per_atom": -5.112,
  "lattice_angstrom": [[0.000, 3.055, 3.055], [3.055, 0.000, 3.055], [3.055, 3.055, 0.000]],
  "species": ["Fe", "Ir", "Mg", "Zn"],
  "fractional_positions": [[0.750, 0.750, 0.750], [0.500, 0.500, 0.500], [0.250, 0.250, 0.250], [0.000, 0.000, 0.000]]
}



Entry 3:
{
  "formula": "FeSbMoIr",
  "functional": "PBE-GGA",
  "state": "relaxed",
  "polymorph_energy_ev_per_atom": 0.000,
  "dft_energy_ev_per_atom": -7.771,
  "lattice_angstrom": [[0.000, 3.152, 3.152], [3.152, 0.000, 3.152], [3.152, 3.152, 0.000]],
  "species": ["Fe", "Ir", "Mo", "Sb"],
  "fractional_positions": [[0.750, 0.750, 0.750], [0.500, 0.500, 0.500], [0.250, 0.250, 0.250], [0.000, 0.000, 0.000]]
}



Entry 4:
{
  "formula": "FeSiMoIr",
  "functional": "PBE-GGA",
  "state": "relaxed",
  "polymorph_energy_ev_per_atom": 0.000,
  "dft_energy_ev_per_atom": -8.424,
  "lattice_angstrom": [[3.866, -1.746, 0.365], [1.391, -1.314, 3.803], [0.389, -4.163, 0.803]],
  "species": ["Fe", "Ir", "Mo", "Si"],
  "fractional_positions": [[0.750, 0.750, 0.750], [0.250, 0.250, 0.250], [0.500, 0.500, 0.500], [0.000, 0.000, 0.000]]
}



Entry 5:
{
  "formula": "ZnFeMoIr",
  "functional": "PBE-GGA",
  "state": "relaxed",
  "ef_ev_per_atom": 0.008,
  "polymorph_energy_ev_per_atom": 0.000,
  "dft_energy_ev_per_atom": -7.311,
  "lattice_angstrom": [[1.872, 0.179, 3.842], [-0.716, 3.340, 2.575], [-2.342, -0.495, 3.546]],
  "species": ["Fe", "Ir", "Mo", "Zn"],
  "fractional_positions": [[0.750, 0.750, 0.750], [0.250, 0.250, 0.250], [0.500, 0.500, 0.500], [0.000, 0.000, 0.000]]
}



Entry 6:
{
  "formula": "Na2FeP2Ir",
  "functional": "PBE-GGA",
  "state": "relaxed",
  "dft_energy_ev_per_atom": -5.603,
  "lattice_angstrom": [[3.905, 0.000, 0.000], [0.000, 3.905, 0.000], [0.000, 0.000, 6.652]],
  "species": ["Fe", "Ir", "Na", "Na", "P", "P"],
  "fractional_positions": [[0.000, 0.000, 0.000], [0.500, 0.500, 0.000], [0.500, 0.000, 0.356], [0.000, 0.500, 0.644], [0.000, 0.500, 0.186], [0.500, 0.000, 0.814]]
}